1.
The following is a DFT calculation (PBE) of a geometry-optimized Cs3Se3S structure.

Lattice parameters (Å, degrees): 7.362 7.197 7.362 109.02 109.92 109.02
Site moments in Bohr magnetons follow the coordinates.
Positions (direct):
1 Cs 0.423 0.415 0.423  0.00
2 Se 0.340 0.869 0.340  0.14
3 Se 0.000 0.529 0.660  0.14
4 Se 0.660 0.529 0.000  0.14
5 Cs 0.577 0.993 0.000  0.00
6 Cs 0.000 0.993 0.577  0.00
7 S 0.000 0.696 0.000  0.14

**Density of states at the Fermi level**: 0.2530 states/eV per atom
**Energy relative to the elements, uncorrected**: -0.663 eV per atom
**Energy**: -0.22873 Ry/atom
**SG**: R3m (160)

2.
The following is a DFT calculation (PBE) of a geometry-optimized La2PHOs structure.

Lattice parameters (Å, degrees): 5.608 4.275 5.608 90.00 90.00 90.00
Positions (direct):
1 La 0.500 0.000 0.000
2 H 0.500 0.500 0.500
3 Os 0.000 0.500 0.000
4 La 0.000 0.000 0.500
5 P 0.000 0.000 0.000

**Density of states at the Fermi level**: 0.6174 states/eV per atom
**Energy**: -0.43931 Ry/atom
**SG**: P4/mmm (123)